(1)
A relaxed Dy4Y3Cu4 crystal. Source: Alexandria via LeMat-Bulk, functional PBE.

Values from the calculation:
* total moment: 0.0 μB per formula unit
* symmetry: Immm, No. 71
* E_form: -0.09 eV per atom
* density of states at the Fermi level: 0.911 states/eV/atom

Unit cell a=4.8260 b=7.3583 c=8.7217 alpha=114.95 beta=106.06 gamma=90.00
Closest atoms and distances in Å follow each position.
Element x y z (fractional)
Cu  0.7977  0.2977  0.5953  6 Dy 2.81-2.94, 1 Y 3.05
Dy  0.6718  0.4532  0.3437  4 Cu 2.72-2.94
Cu  0.2023  0.7023  0.4047  6 Dy 2.81-2.94, 1 Y 3.05
Dy  0.3282  0.1096  0.6563  4 Cu 2.72-2.94
Y  0.0000  0.5000  0.0000  2 Cu 3.05
Cu  0.5000  0.8330  0.0000  1 Cu 2.46, 2 Dy 2.72
Dy  0.3282  0.5468  0.6563  4 Cu 2.72-2.94
Y  0.8956  0.8956  0.7912  4 Cu 3.13, 1 Y 3.14, 4 Dy 3.34
Cu  0.5000  0.1670  0.0000  1 Cu 2.46, 2 Dy 2.72
Dy  0.6718  0.8904  0.3437  4 Cu 2.72-2.94
Y  0.1044  0.1044  0.2088  4 Cu 3.13, 1 Y 3.14, 4 Dy 3.34

(2)
A relaxed Al2TcOs crystal. Source: Alexandria via LeMat-Bulk, functional PBE.

Values from the calculation:
* energy above the lowest structure with this stoichiometry: 0.245 eV/atom
* total moment: 0.0 μB per formula unit
* symmetry: F-43m, No. 216
* E_form: -0.09 eV per atom
* density of states at the Fermi level: 1.442 states/eV/atom

Unit cell a=4.3320 b=4.3320 c=4.3320 alpha=60.00 beta=60.00 gamma=60.00
Closest atoms and distances in Å follow each position.
Element x y z (fractional)
Tc  0.2500  0.2500  0.2500  4 Os 2.65, 4 Al 2.65
Al  0.7500  0.7500  0.7500  4 Os 2.65, 4 Al 2.65
Al  0.0000  0.0000  0.0000  4 Tc 2.65, 4 Al 2.65
Os  0.5000  0.5000  0.5000  4 Al 2.65, 4 Tc 2.65

(3)
A relaxed CuC3 crystal. Source: Alexandria via LeMat-Bulk, functional PBE.

Values from the calculation:
* energy above the lowest structure with this stoichiometry: 2.632 eV/atom
* total moment: 0.0 μB per formula unit
* symmetry: I4/mmm, No. 139
* E_form: 3.23 eV per atom
* density of states at the Fermi level: 0.289 states/eV/atom

Unit cell a=3.8422 b=3.8422 c=3.8422 alpha=128.81 beta=128.81 gamma=75.32
Closest atoms and distances in Å follow each position.
Element x y z (fractional)
Cu  0.0000  0.0000  0.0000  12 C 2.25-2.35
C  0.5000  0.5000  0.0000  8 C 2.25, 4 Cu 2.35
C  0.2500  0.7500  0.5000  8 C 2.25-2.35, 4 Cu 2.25
C  0.7500  0.2500  0.5000  4 Cu 2.25, 8 C 2.25-2.35

(4)
A relaxed TlCdFe2 crystal. Source: Alexandria via LeMat-Bulk, functional PBE.

Values from the calculation:
* total moment: 5.2 μB per formula unit
* symmetry: Imm2, No. 44
* E_form: 0.42 eV per atom
* density of states at the Fermi level: 0.489 states/eV/atom

Unit cell a=5.5221 b=5.5221 c=5.5221 alpha=146.55 beta=130.64 gamma=60.94
Closest atoms and distances in Å follow each position.
Element x y z (fractional)
Fe  0.9681  0.9681  0.0000  2 Fe 2.37
Cd  0.2334  0.7334  0.5000  6 Fe 2.84-2.98, 4 Tl 3.10-3.12, 2 Cd 3.18
Tl  0.5158  0.5158  0.0000  6 Fe 2.84-3.00, 4 Cd 3.10-3.12
Fe  0.7828  0.2828  0.5000  2 Fe 2.37

Copy entry 3 word for word.
A relaxed CuC3 crystal. Source: Alexandria via LeMat-Bulk, functional PBE.

Values from the calculation:
* energy above the lowest structure with this stoichiometry: 2.632 eV/atom
* total moment: 0.0 μB per formula unit
* symmetry: I4/mmm, No. 139
* E_form: 3.23 eV per atom
* density of states at the Fermi level: 0.289 states/eV/atom

Unit cell a=3.8422 b=3.8422 c=3.8422 alpha=128.81 beta=128.81 gamma=75.32
Closest atoms and distances in Å follow each position.
Element x y z (fractional)
Cu  0.0000  0.0000  0.0000  12 C 2.25-2.35
C  0.5000  0.5000  0.0000  8 C 2.25, 4 Cu 2.35
C  0.2500  0.7500  0.5000  8 C 2.25-2.35, 4 Cu 2.25
C  0.7500  0.2500  0.5000  4 Cu 2.25, 8 C 2.25-2.35

density of states at the Fermi level of number 4 (TlCdFe2)? 0.489 states/eV/atom

density of states at the Fermi level of number 3 (CuC3)? 0.289 states/eV/atom